No. 1
Density functional theory data (PBE-GGA) for a geometry-optimized AcErLu structure.

Results
The calculated formation energy comes out at 0.34 eV/f.u. The calculation puts the total magnetization at 0.00 μB/f.u. The volume is 103.8 Å³/cell. The electronic total energy comes out at -4.29 eV/atom.

POSCAR file:
```
AcErLu
1.0
3.593 0.000 0.000
0.000 5.775 0.000
0.000 -2.888 5.002
Lu Er Ac
1 1 1
Cartesian
0.603 0.000 0.000
0.595 0.000 3.334
2.395 2.888 1.667
```

No. 2
Density functional theory data (PBE-GGA) for a geometry-optimized LiY4Sc structure.

Results
The calculated formation energy comes out at 2.51 eV/f.u. The calculation puts the total magnetization at 0.00 μB/f.u. The volume is 192.3 Å³/cell. The electronic total energy comes out at -5.26 eV/atom.

POSCAR file:
```
LiY4Sc
1.0
-3.677 2.949 4.445
-6.058 1.771 -1.464
-5.019 -3.129 2.645
Sc Y Li
1 4 1
Cartesian
0.000 0.000 0.000
-7.371 2.086 4.350
-8.050 -0.989 3.440
-8.576 1.490 1.361
-5.511 0.594 2.101
-11.065 1.193 4.220
```

No. 3
Density functional theory data (PBE-GGA) for a geometry-optimized KCd13 structure.

Results
The calculated formation energy comes out at -0.73 eV/f.u. The calculation puts the total magnetization at 0.00 μB/f.u. The volume is 690.2 Å³/cell. The electronic total energy comes out at -0.98 eV/atom.

POSCAR file:
```
KCd13
1.0
-6.940 -4.668 5.333
-2.121 -9.510 -1.859
2.625 -7.028 6.490
K Cd
2 26
Cartesian
-4.827 -15.905 7.473
-1.609 -5.302 2.491
1.423 -9.758 5.861
-4.517 -9.556 7.533
-3.726 -8.768 2.601
-1.104 -14.664 6.418
-6.051 -14.331 3.932
-0.457 -11.874 5.221
-1.378 -9.580 7.187
-3.935 -10.772 0.240
-3.141 -7.596 5.475
-5.058 -11.626 2.777
-0.571 -14.133 3.096
-5.338 -12.170 8.991
-2.500 -10.434 9.723
-1.919 -11.650 2.430
-5.865 -7.073 6.868
-3.218 -10.603 4.982
-2.709 -12.438 7.362
0.000 0.000 0.000
-1.098 -9.036 0.973
-7.859 -11.448 4.103
-5.979 -9.332 4.742
-0.845 -9.049 3.864
-3.295 -13.611 4.489
-5.332 -6.542 3.545
-5.591 -12.157 6.099
-0.385 -6.875 6.032
```

No. 4
Density functional theory data (PBE-GGA) for a geometry-optimized CaCd6Hg12 structure.

Results
The calculated formation energy comes out at -1.09 eV/f.u. The calculation puts the total magnetization at 0.00 μB/f.u. The volume is 473.0 Å³/cell. The electronic total energy comes out at -0.64 eV/atom.

POSCAR file:
```
CaCd6Hg12
1.0
7.702 -0.166 2.350
-4.095 7.322 3.347
-0.064 0.250 8.628
Cd Hg Ca
6 12 1
Cartesian
-2.495 5.193 6.898
-0.513 5.851 9.399
2.237 3.847 9.901
4.056 1.556 4.926
6.038 2.214 7.427
1.306 3.560 4.424
-1.440 5.331 3.869
1.027 0.628 5.544
1.531 6.613 11.808
4.205 4.762 12.265
0.225 3.284 7.503
2.516 6.778 8.781
2.012 0.793 2.517
3.020 1.212 7.985
0.523 6.194 6.340
-0.662 2.645 2.059
4.983 2.076 10.455
3.318 4.123 6.822
0.000 0.000 0.000
```

No. 5
Density functional theory data (PBE-GGA) for a geometry-optimized ReTePb structure.

Results
The calculation puts the total magnetization at 0.00 μB/f.u. The energy relative to the elements, uncorrected comes out at 784 meV per atom. The volume is 73.8 Å³/cell. The electronic total energy comes out at -5.65 eV/atom.

POSCAR file:
```
ReTePb
1.0
-7.969 -0.021 -3.373
-7.492 -2.974 -2.315
-1.706 1.930 1.852
Te Re Pb
1 1 1
Cartesian
-11.335 -1.518 -3.426
-6.190 0.324 -0.606
-15.104 -2.867 -5.491
```

No. 6
Density functional theory data (PBE-GGA) for a geometry-optimized Cs3Sm3UO8 structure.

Results
The calculation puts the total magnetization at 1.71 μB/f.u. The energy relative to the elements, uncorrected comes out at -2710 meV per atom. The volume is 319.7 Å³/cell. The electronic total energy comes out at -7.22 eV/atom.

POSCAR file:
```
Cs3Sm3UO8
1.0
7.213 0.000 0.000
-3.606 6.246 -0.022
0.000 -4.140 7.112
Cs O U Sm
3 8 1 3
Cartesian
0.000 0.000 0.000
1.803 3.123 -0.011
-1.803 3.123 -0.011
5.524 -1.099 2.478
3.606 0.016 4.670
0.000 -0.116 4.624
-1.918 3.205 4.612
0.000 2.090 2.419
3.606 2.222 2.466
1.688 -1.099 2.478
1.918 3.205 4.612
0.000 -2.070 3.556
-1.803 1.053 3.545
3.606 -2.070 3.556
1.803 1.053 3.545
```

No. 7
Density functional theory data (PBE-GGA) for a geometry-optimized Sc3Sb structure.

Results
The calculation puts the total magnetization at 0.00 μB/f.u. The energy relative to the elements, uncorrected comes out at -332 meV per atom. The volume is 93.4 Å³/cell. The electronic total energy comes out at -6.11 eV/atom.

POSCAR file:
```
Sc3Sb
1.0
-3.824 -3.953 1.919
5.147 -2.029 -1.823
0.057 5.123 2.771
Sc Sb
3 1
Cartesian
-1.883 0.585 2.345
0.662 -2.991 0.048
2.602 1.547 0.474
0.000 0.000 0.000
```

No. 8
Density functional theory data (PBE-GGA) for a geometry-optimized PdPb2W2 structure.

Results
The calculated formation energy comes out at 3.76 eV/f.u. The calculation puts the total magnetization at 0.00 μB/f.u. The volume is 113.0 Å³/cell. The electronic total energy comes out at -6.95 eV/atom.

POSCAR file:
```
PdPb2W2
1.0
-2.464 -2.580 -0.343
1.920 -2.121 2.159
-4.585 0.841 7.880
Pd Pb W
1 2 2
Cartesian
0.000 0.000 0.000
-3.985 -2.154 7.379
-1.143 -1.706 2.316
-1.468 -1.815 5.473
-3.660 -2.045 4.222
```